1.
{"formula": "Ca2Sn3Au2", "functional": "GGA-PBE", "state": "relaxed", "cell": [[4.5469, 0.0000, -1.0840], [0.0000, 7.4491, 0.0000], [0.1421, 0.0000, 10.6740]], "species": ["Sn", "Sn", "Sn", "Sn", "Sn", "Sn", "Ca", "Ca", "Ca", "Ca", "Au", "Au", "Au", "Au"], "fractional_positions": [[0.5656, 0.4413, 0.1311], [0.5656, 0.0587, 0.1311], [0.7792, 0.2500, 0.5584], [0.4344, 0.9413, 0.8689], [0.2208, 0.7500, 0.4416], [0.4344, 0.5587, 0.8689], [0.0486, 0.7500, 0.0973], [0.1625, 0.2500, 0.3250], [0.9514, 0.2500, 0.9027], [0.8375, 0.7500, 0.6750], [0.6924, 0.9530, 0.3849], [0.3076, 0.4530, 0.6151], [0.3076, 0.0470, 0.6151], [0.6924, 0.5470, 0.3849]], "final_energy_ev_per_atom": -3.757, "delta_e_f_ev_per_fu": -3.73}


2.
{"formula": "CaSn2Au6", "functional": "GGA-PBE", "state": "relaxed", "cell": [[3.6058, 0.0000, 0.0000], [1.8029, 7.9497, 0.9337], [1.8029, 3.1771, 7.3468]], "species": ["Au", "Au", "Au", "Au", "Au", "Au", "Sn", "Sn", "Ca"], "fractional_positions": [[0.8236, 0.8509, 0.5018], [0.1764, 0.4982, 0.1491], [0.0000, 0.8226, 0.1774], [0.8236, 0.5018, 0.8509], [0.1764, 0.1491, 0.4982], [0.0000, 0.1774, 0.8226], [0.3534, 0.1466, 0.1466], [0.6466, 0.8534, 0.8534], [0.5000, 0.5000, 0.5000]], "final_energy_ev_per_atom": -3.572, "delta_e_f_ev_per_fu": -2.48}


3.
{"formula": "CaSn2Au6", "functional": "GGA-PBE", "state": "relaxed", "cell": [[-2.5114, 0.2234, -7.1592], [-3.1549, -7.6443, -1.4665], [-5.2427, 6.5551, -0.2911]], "species": ["Sn", "Sn", "Sn", "Sn", "Au", "Au", "Au", "Au", "Au", "Au", "Au", "Au", "Au", "Au", "Au", "Au", "Ca", "Ca"], "fractional_positions": [[0.5002, 0.6554, 0.8444], [0.0002, 0.8444, 0.6554], [0.9998, 0.1556, 0.3446], [0.4998, 0.3446, 0.1556], [0.7643, 0.4080, 0.9081], [0.0599, 0.8048, 0.9604], [0.2357, 0.5920, 0.0919], [0.4401, 0.0396, 0.1952], [0.4407, 0.6951, 0.5392], [0.2643, 0.9081, 0.4080], [0.0593, 0.4608, 0.3049], [0.9407, 0.5392, 0.6951], [0.5593, 0.3049, 0.4608], [0.7357, 0.0919, 0.5920], [0.5599, 0.9604, 0.8048], [0.9401, 0.1952, 0.0396], [0.7500, 0.7503, 0.2497], [0.2500, 0.2497, 0.7503]], "final_energy_ev_per_atom": -3.583, "delta_e_f_ev_per_fu": -2.58}


4.
{"formula": "Ca2Sn3Au4", "functional": "GGA-PBE", "state": "relaxed", "cell": [[-4.5637, 0.9203, -4.2861], [-5.4465, -0.1532, 5.7664], [3.0659, 7.9133, 3.1060]], "species": ["Au", "Au", "Au", "Au", "Au", "Au", "Au", "Au", "Sn", "Sn", "Sn", "Sn", "Sn", "Sn", "Ca", "Ca", "Ca", "Ca"], "fractional_positions": [[0.3318, 0.4654, 0.6635], [0.6867, 0.7500, 0.8735], [0.3133, 0.2500, 0.1265], [0.8318, 0.0346, 0.6635], [0.6682, 0.5346, 0.3365], [0.1682, 0.9654, 0.3365], [0.8133, 0.2500, 0.1265], [0.1867, 0.7500, 0.8735], [0.0000, 0.0000, 0.0000], [0.4826, 0.2500, 0.4652], [0.5174, 0.7500, 0.5349], [0.5000, 0.5000, 0.0000], [0.0174, 0.7500, 0.5349], [0.9826, 0.2500, 0.4652], [0.6006, 0.9017, 0.2011], [0.1006, 0.5983, 0.2011], [0.3994, 0.0983, 0.7989], [0.8994, 0.4017, 0.7989]], "final_energy_ev_per_atom": -3.737, "delta_e_f_ev_per_fu": -4.52}


5.
{"formula": "Ca2Sn3Au2", "functional": "GGA-PBE", "state": "relaxed", "cell": [[4.4349, 0.0000, 0.0000], [-2.2175, 5.4062, -0.0411], [0.0000, -2.5382, 7.4809]], "species": ["Sn", "Sn", "Sn", "Au", "Au", "Ca", "Ca"], "fractional_positions": [[0.5000, 0.0000, 0.0000], [0.6232, 0.2465, 0.4472], [0.3768, 0.7535, 0.5528], [0.8403, 0.6807, 0.7740], [0.1597, 0.3193, 0.2260], [0.1468, 0.2937, 0.8066], [0.8532, 0.7063, 0.1934]], "final_energy_ev_per_atom": -3.765, "delta_e_f_ev_per_fu": -3.79}


6.
{"formula": "Ca3Sn4Au2", "functional": "GGA-PBE", "state": "relaxed", "cell": [[4.6581, 0.0000, 1.2426], [2.0144, 5.6258, 1.8008], [0.1219, -0.2334, 8.8951]], "species": ["Sn", "Sn", "Sn", "Sn", "Ca", "Ca", "Ca", "Au", "Au"], "fractional_positions": [[0.9836, 0.6816, 0.3513], [0.7259, 0.6290, 0.9192], [0.2741, 0.3710, 0.0808], [0.0164, 0.3184, 0.6487], [0.3166, 0.7313, 0.6356], [0.6834, 0.2687, 0.3644], [0.0000, 0.0000, 0.0000], [0.5941, 0.0825, 0.7293], [0.4059, 0.9175, 0.2707]], "final_energy_ev_per_atom": -3.763, "delta_e_f_ev_per_fu": -5.29}


7.
{"formula": "Ca11Sn9Au4", "functional": "GGA-PBE", "state": "relaxed", "cell": [[3.9855, 0.0000, 0.0000], [0.0000, 12.1959, -5.1550], [0.0000, 0.0525, 13.2405]], "species": ["Sn", "Sn", "Sn", "Sn", "Sn", "Sn", "Sn", "Sn", "Sn", "Ca", "Ca", "Ca", "Ca", "Ca", "Ca", "Ca", "Ca", "Ca", "Ca", "Ca", "Au", "Au", "Au", "Au"], "fractional_positions": [[0.5000, 0.5000, 0.5000], [0.5000, 0.0744, 0.2143], [0.5000, 0.9256, 0.7857], [0.5000, 0.3665, 0.8412], [0.5000, 0.1588, 0.6335], [0.5000, 0.8412, 0.3665], [0.5000, 0.6335, 0.1588], [0.5000, 0.7857, 0.9256], [0.5000, 0.2143, 0.0744], [0.0000, 0.6955, 0.6955], [0.0000, 0.3045, 0.3045], [0.0000, 0.0677, 0.4115], [0.0000, 0.9323, 0.5885], [0.0000, 0.6304, 0.3696], [0.0000, 0.4115, 0.0677], [0.0000, 0.8396, 0.1604], [0.0000, 0.0000, 0.0000], [0.0000, 0.5885, 0.9323], [0.0000, 0.3696, 0.6304], [0.0000, 0.1604, 0.8396], [0.5000, 0.5507, 0.7529], [0.5000, 0.7529, 0.5507], [0.5000, 0.4493, 0.2471], [0.5000, 0.2471, 0.4493]], "final_energy_ev_per_atom": -3.640, "delta_e_f_ev_per_fu": -16.21}


8.
{"formula": "Ca4SnAu3", "functional": "GGA-PBE", "state": "relaxed", "cell": [[3.9092, 0.0000, 0.0000], [0.0000, 4.7767, 0.0000], [0.0000, 0.0000, 11.3907]], "species": ["Ca", "Ca", "Ca", "Ca", "Au", "Au", "Au", "Sn"], "fractional_positions": [[0.5000, 0.0000, 0.6409], [0.0000, 0.5000, 0.8493], [0.0000, 0.0000, 0.1457], [0.5000, 0.5000, 0.3675], [0.0000, 0.5000, 0.5794], [0.0000, 0.0000, 0.4220], [0.5000, 0.0000, 0.9160], [0.5000, 0.5000, 0.0792]], "final_energy_ev_per_atom": -3.477, "delta_e_f_ev_per_fu": -5.98}


9.
{"formula": "CaSnAu6", "functional": "GGA-PBE", "state": "relaxed", "cell": [[-4.2174, -3.4359, 0.7001], [2.0788, -3.4305, -3.8751], [3.4028, -1.2122, 4.3594]], "species": ["Au", "Au", "Au", "Au", "Au", "Au", "Sn", "Ca"], "fractional_positions": [[0.9923, 0.2452, 0.4887], [0.4706, 0.0519, 0.7505], [0.7609, 0.4767, 0.0480], [0.5294, 0.9481, 0.2495], [0.0077, 0.7548, 0.5113], [0.2391, 0.5233, 0.9520], [0.0000, 0.0000, 0.0000], [0.5000, 0.5000, 0.5000]], "final_energy_ev_per_atom": -3.520, "delta_e_f_ev_per_fu": -2.49}


10.
{"formula": "Ca4SnAu3", "functional": "GGA-PBE", "state": "relaxed", "cell": [[-1.5935, -1.9240, 4.5716], [-3.3711, -3.9701, 0.1225], [4.8678, -7.5050, 1.5066]], "species": ["Ca", "Ca", "Ca", "Ca", "Au", "Au", "Au", "Sn"], "fractional_positions": [[0.8723, 0.8723, 0.3831], [0.3787, 0.3787, 0.8639], [0.6213, 0.6213, 0.1361], [0.1277, 0.1277, 0.6169], [0.5000, 0.5000, 0.5000], [0.7482, 0.7482, 0.7553], [0.2518, 0.2518, 0.2447], [0.0000, 0.0000, 0.0000]], "final_energy_ev_per_atom": -3.494, "delta_e_f_ev_per_fu": -6.11}


11.
{"formula": "CaSn3Au", "functional": "GGA-PBE", "state": "relaxed", "cell": [[-2.1786, 3.8576, 3.1816], [1.6436, -2.7252, 4.4297], [4.7226, 2.7281, -0.0739]], "species": ["Au", "Sn", "Sn", "Sn", "Ca"], "fractional_positions": [[0.0000, 0.0000, 0.0000], [0.0000, 0.5000, 0.0000], [0.0000, 0.0000, 0.5000], [0.5000, 0.0000, 0.0000], [0.5000, 0.5000, 0.5000]], "final_energy_ev_per_atom": -3.422, "delta_e_f_ev_per_fu": 0.18}